1.
Material: CuH6Pb4S2O14
Method: DFT, PBE
State: optimized geometry

a = 5.968 Å, b = 8.097 Å, c = 8.129 Å
α = 112.24°, β = 100.28°, γ = 97.58°
Space group P-1 (No. 2)
Asymmetric unit:
1 Cu 0.000 0.000 0.000 (multiplicity 1)
2 H 0.156 0.191 0.343 (multiplicity 2)
3 H 0.196 0.560 0.603 (multiplicity 2)
4 H 0.217 0.753 0.914 (multiplicity 2)
5 Pb 0.359 0.490 0.260 (multiplicity 2)
6 Pb 0.449 0.955 0.733 (multiplicity 2)
7 S 0.071 0.285 0.733 (multiplicity 2)
8 O 0.085 0.489 0.799 (multiplicity 2)
9 O 0.180 0.808 0.322 (multiplicity 2)
10 O 0.183 0.224 0.577 (multiplicity 2)
11 O 0.202 0.246 0.885 (multiplicity 2)
12 O 0.207 0.182 0.231 (multiplicity 2)
13 O 0.272 0.885 0.954 (multiplicity 2)
14 O 0.333 0.613 0.573 (multiplicity 2)

Output
energy: -149.481 eV for the cell shown
total magnetic moment: 1.000 μB/f.u.

=====

2.
Material: Pu2CuHO8
Method: DFT, PBE
State: optimized geometry

a = 6.315 Å, b = 6.665 Å, c = 8.367 Å
α = 90.00°, β = 107.18°, γ = 90.00°
Space group C2/m (No. 12)
Asymmetric unit:
1 Pu 0.065 0.000 0.219 (multiplicity 4)
2 Cu 0.000 0.500 0.000 (multiplicity 2)
3 H 0.000 0.500 0.500 (multiplicity 2)
4 O 0.069 0.276 0.214 (multiplicity 8)
5 O 0.196 0.500 0.571 (multiplicity 4)
6 O 0.199 0.000 0.994 (multiplicity 4)

Output
energy: -192.529 eV for the cell shown
total magnetic moment: 1.970 μB/f.u.

=====

3.
Material: RbCuHO2
Method: DFT, PBE
State: optimized geometry

a = 5.344 Å, b = 4.747 Å, c = 5.888 Å
α = 90.00°, β = 107.84°, γ = 90.00°
Space group P2/c (No. 13)
Asymmetric unit:
1 Rb 0.000 0.179 0.250 (multiplicity 2)
2 Cu 0.500 0.489 0.750 (multiplicity 2)
3 H 0.500 0.000 0.000 (multiplicity 2)
4 O 0.410 0.240 0.979 (multiplicity 4)

Output
energy: -45.588 eV for the cell shown
total magnetic moment: 0.998 μB/f.u.

=====

4.
Material: Rb2CuH12S2O14
Method: DFT, PBE
State: optimized geometry

a = 6.286 Å, b = 12.495 Å, c = 9.350 Å
α = 90.00°, β = 104.52°, γ = 90.00°
Space group P2_1/c (No. 14)
Asymmetric unit:
1 Rb 0.155 0.149 0.386 (multiplicity 4)
2 Cu 0.500 0.000 0.000 (multiplicity 2)
3 H 0.176 0.564 0.598 (multiplicity 4)
4 H 0.186 0.091 0.807 (multiplicity 4)
5 H 0.193 0.640 0.464 (multiplicity 4)
6 H 0.417 0.604 0.198 (multiplicity 4)
7 H 0.419 0.123 0.773 (multiplicity 4)
8 H 0.487 0.694 0.320 (multiplicity 4)
9 S 0.224 0.641 0.882 (multiplicity 4)
10 O 0.096 0.575 0.755 (multiplicity 4)
11 O 0.098 0.741 0.891 (multiplicity 4)
12 O 0.215 0.565 0.501 (multiplicity 4)
13 O 0.251 0.577 0.020 (multiplicity 4)
14 O 0.342 0.111 0.853 (multiplicity 4)
15 O 0.444 0.668 0.857 (multiplicity 4)
16 O 0.478 0.120 0.206 (multiplicity 4)

Output
energy: -325.824 eV for the cell shown
total magnetic moment: 1.001 μB/f.u.

=====

5.
Material: Rb2CuH12Se2O14
Method: DFT, PBE
State: optimized geometry

a = 6.421 Å, b = 12.746 Å, c = 9.524 Å
α = 90.00°, β = 104.03°, γ = 90.00°
Space group P2_1/c (No. 14)
Asymmetric unit:
1 Rb 0.156 0.150 0.382 (multiplicity 4)
2 Cu 0.500 0.000 0.000 (multiplicity 2)
3 H 0.178 0.560 0.596 (multiplicity 4)
4 H 0.191 0.088 0.814 (multiplicity 4)
5 H 0.192 0.635 0.464 (multiplicity 4)
6 H 0.415 0.123 0.777 (multiplicity 4)
7 H 0.421 0.602 0.205 (multiplicity 4)
8 H 0.499 0.690 0.323 (multiplicity 4)
9 Se 0.226 0.641 0.884 (multiplicity 4)
10 O 0.085 0.749 0.394 (multiplicity 4)
11 O 0.086 0.568 0.745 (multiplicity 4)
12 O 0.220 0.562 0.502 (multiplicity 4)
13 O 0.252 0.571 0.035 (multiplicity 4)
14 O 0.343 0.110 0.857 (multiplicity 4)
15 O 0.468 0.673 0.856 (multiplicity 4)
16 O 0.473 0.117 0.203 (multiplicity 4)

Output
energy: -310.615 eV for the cell shown
total magnetic moment: 1.001 μB/f.u.

=====

6.
Material: Cu4H10SO12
Method: DFT, PBE
State: optimized geometry

a = 8.324 Å, b = 5.968 Å, c = 11.425 Å
α = 90.00°, β = 91.82°, γ = 90.00°
Space group Pc (No. 7)
Asymmetric unit:
1 Cu 0.000 0.002 0.000 (multiplicity 2)
2 Cu 0.003 0.263 0.752 (multiplicity 2)
3 Cu 0.982 0.498 0.493 (multiplicity 2)
4 Cu 0.996 0.254 0.256 (multiplicity 2)
5 H 0.221 0.005 0.846 (multiplicity 2)
6 H 0.222 0.260 0.521 (multiplicity 2)
7 H 0.382 0.448 0.053 (multiplicity 2)
8 H 0.443 0.213 0.095 (multiplicity 2)
9 H 0.489 0.474 0.208 (multiplicity 2)
10 H 0.541 0.315 0.792 (multiplicity 2)
11 H 0.628 0.374 0.337 (multiplicity 2)
12 H 0.759 0.220 0.982 (multiplicity 2)
13 H 0.774 0.488 0.672 (multiplicity 2)
14 H 0.788 0.002 0.146 (multiplicity 2)
15 S 0.525 0.106 0.442 (multiplicity 2)
16 O 0.083 0.493 0.345 (multiplicity 2)
17 O 0.102 0.008 0.844 (multiplicity 2)
18 O 0.115 0.256 0.556 (multiplicity 2)
19 O 0.376 0.341 0.119 (multiplicity 2)
20 O 0.414 0.280 0.480 (multiplicity 2)
21 O 0.451 0.041 0.852 (multiplicity 2)
22 O 0.580 0.456 0.758 (multiplicity 2)
23 O 0.596 0.026 0.041 (multiplicity 2)
24 O 0.671 0.232 0.389 (multiplicity 2)
25 O 0.862 0.241 0.943 (multiplicity 2)
26 O 0.890 0.498 0.157 (multiplicity 2)
27 O 0.906 0.002 0.160 (multiplicity 2)

Output
energy: -276.080 eV for the cell shown
total magnetic moment: 3.687 μB/f.u.

=====

7.
Material: CuHSO
Method: DFT, PBE
State: optimized geometry

a = 3.391 Å, b = 3.391 Å, c = 7.984 Å
α = 90.00°, β = 90.00°, γ = 90.00°
Space group P4/nmm (No. 129, origin choice 2)
Asymmetric unit:
1 Cu 0.250 0.750 0.000 (multiplicity 2)
2 H 0.250 0.250 0.495 (multiplicity 2)
3 S 0.250 0.250 0.808 (multiplicity 2)
4 O 0.250 0.750 0.500 (multiplicity 2)

Output
energy: -28.988 eV for the cell shown
total magnetic moment: 0.959 μB/f.u.

=====

8.
Material: Tb2CuH4S2O12
Method: DFT, PBE
State: optimized geometry

a = 6.320 Å, b = 6.765 Å, c = 10.816 Å
α = 90.00°, β = 97.83°, γ = 90.00°
Space group P2_1/c (No. 14)
Asymmetric unit:
1 Tb 0.076 0.007 0.319 (multiplicity 4)
2 Cu 0.000 0.000 0.000 (multiplicity 2)
3 H 0.249 0.714 0.623 (multiplicity 4)
4 H 0.276 0.623 0.387 (multiplicity 4)
5 S 0.363 0.167 0.629 (multiplicity 4)
6 O 0.104 0.681 0.638 (multiplicity 4)
7 O 0.122 0.657 0.372 (multiplicity 4)
8 O 0.198 0.054 0.541 (multiplicity 4)
9 O 0.249 0.194 0.742 (multiplicity 4)
10 O 0.418 0.146 0.075 (multiplicity 4)
11 O 0.450 0.539 0.837 (multiplicity 4)

Output
energy: -264.917 eV for the cell shown
total magnetic moment: 1.001 μB/f.u.

=====

9.
Material: Zn3Cu2H14S2O18
Method: DFT, PBE
State: optimized geometry

a = 5.484 Å, b = 6.457 Å, c = 10.735 Å
α = 96.89°, β = 93.37°, γ = 90.34°
Space group P-1 (No. 2)
Asymmetric unit:
1 Zn 0.000 0.000 0.000 (multiplicity 1)
2 Zn 0.489 0.248 0.494 (multiplicity 2)
3 Cu 0.000 0.000 0.500 (multiplicity 1)
4 Cu 0.000 0.500 0.500 (multiplicity 1)
5 H 0.083 0.199 0.323 (multiplicity 2)
6 H 0.149 0.650 0.874 (multiplicity 2)
7 H 0.243 0.351 0.062 (multiplicity 2)
8 H 0.330 0.047 0.677 (multiplicity 2)
9 H 0.334 0.516 0.676 (multiplicity 2)
10 H 0.358 0.252 0.933 (multiplicity 2)
11 H 0.393 0.788 0.917 (multiplicity 2)
12 S 0.240 0.715 0.217 (multiplicity 2)
13 O 0.102 0.533 0.149 (multiplicity 2)
14 O 0.124 0.232 0.413 (multiplicity 2)
15 O 0.141 0.913 0.176 (multiplicity 2)
16 O 0.210 0.722 0.356 (multiplicity 2)
17 O 0.218 0.793 0.886 (multiplicity 2)
18 O 0.306 0.219 0.016 (multiplicity 2)
19 O 0.327 0.009 0.586 (multiplicity 2)
20 O 0.327 0.521 0.585 (multiplicity 2)
21 O 0.495 0.306 0.805 (multiplicity 2)

Output
energy: -200.525 eV for the cell shown
total magnetic moment: 2.005 μB/f.u.

=====

10.
Material: Cu2HSeO6
Method: DFT, PBE
State: optimized geometry

a = 10.355 Å, b = 13.169 Å, c = 3.817 Å
α = 90.00°, β = 110.81°, γ = 90.00°
Space group C2/c (No. 15)
Asymmetric unit:
1 Cu 0.150 0.083 0.101 (multiplicity 8)
2 H 0.000 0.217 0.250 (multiplicity 4)
3 Se 0.000 0.314 0.750 (multiplicity 4)
4 O 0.086 0.225 0.105 (multiplicity 8)
5 O 0.117 0.377 0.643 (multiplicity 8)
6 O 0.147 0.061 0.600 (multiplicity 8)

Output
energy: -198.033 eV for the cell shown
total magnetic moment: 0.366 μB/f.u.